Below is a relaxed structure of MgCd2Hg6, with properties calculated at the PBE-GGA level.

Cell: 3.4515 7.9459 9.1864 Å, 115.63 99.71 90.00°
Fractional coordinates of all 9 atoms:
Hg 0.5000 0.3089 0.0000
Hg 0.1579 0.9800 0.3300
Hg 0.5000 0.6911 0.0000
Hg 0.8421 0.0200 0.6700
Hg 0.1579 0.3500 0.3300
Hg 0.8421 0.6500 0.6700
Mg 0.0000 0.0000 0.0000
Cd 0.6588 0.6669 0.3337
Cd 0.3412 0.3331 0.6663

Properties
The value obtained for the total moment is 0.0 μB/f.u. The calculation puts the energy relative to the elements at -0.0229 eV/atom. The value obtained for the density of states at the Fermi level is 1.70 states/eV per cell.

Below is a relaxed structure of AlTcH3, with properties calculated at the PBE-GGA level.

Cell: 3.3613 3.3613 3.3613 Å, 90.00 90.00 90.00°
Fractional coordinates of all 5 atoms:
Tc 0.5000 0.5000 0.5000
H 0.0000 0.0000 0.5000
H 0.5000 0.0000 0.0000
H 0.0000 0.5000 0.0000
Al 0.0000 0.0000 0.0000

Properties
The value obtained for the total moment is 0.0 μB/f.u. The value obtained for the density of states at the Fermi level is 2.54 states/eV per cell. The value obtained for the energy relative to the lowest polymorph listed for this composition is 0.680 eV per atom.

Below is a relaxed structure of LaErCrN4, with properties calculated at the PBE-GGA level.

Cell: 5.5687 5.5614 6.8842 Å, 90.00 107.96 90.00°
Fractional coordinates of all 14 atoms:
Cr 0.2450 0.7500 0.3155
Cr 0.7550 0.2500 0.6845
Er 0.7975 0.7500 0.4620
Er 0.2025 0.2500 0.5380
N 0.9643 0.4939 0.7375
N 0.5759 0.2500 0.4348
N 0.4431 0.7500 0.1616
N 0.9643 0.0061 0.7375
N 0.0357 0.5061 0.2625
N 0.4241 0.7500 0.5652
N 0.5569 0.2500 0.8384
N 0.0357 0.9939 0.2625
La 0.7219 0.7500 0.9321
La 0.2781 0.2500 0.0679

Properties
The value obtained for the total moment is 0.0 μB/f.u. As for the uncorrected formation energy: -1151 meV per atom.

> What is the total moment in the second record?

0.0 μB/f.u.